Entry 1:
The following is a GGA-PBE calculation of a geometry-optimized YMo2Ir structure, from Alexandria.

energy of formation	11	kJ/mol of atoms
magnetization	0.00	μB/f.u.
space-group type	P4mm (99)
crystal system	tetragonal
calculated total energy	-36.54	eV/cell
energy above the most stable polymorph in this dataset	0.491	eV/f.u.

Structure (POSCAR):
```
YMo2Ir
1.0
-0.5570 1.3087 2.5120
-0.9908 -2.4889 1.0754
7.9410 -1.9592 2.7817
Ir Mo Y
1 2 1
Direct
0.5000 0.5000 0.7801
0.0000 0.0000 0.9764
0.5000 0.5000 0.2252
0.0000 0.0000 0.5183
```

=====

Entry 2:
The following is a GGA-PBE calculation of a geometry-optimized YMoIr2 structure, from Alexandria.

energy of formation	-23	kJ/mol of atoms
magnetization	0.00	μB/f.u.
space-group type	Pmmm (47)
crystal system	orthorhombic
calculated total energy	-35.98	eV/cell
energy above the most stable polymorph in this dataset	0.380	eV/f.u.

Structure (POSCAR):
```
YMoIr2
1.0
2.9390 0.0000 0.0000
0.0000 3.7422 0.0000
0.0000 0.0000 6.4470
Ir Mo Y
2 1 1
Direct
0.0000 0.0000 0.0402
0.0000 0.0000 0.4598
0.5000 0.5000 0.2500
0.5000 0.5000 0.7500
```